Here is a relaxed structure of Hg2PbSe from the Alexandria database. Energies are from PBE.

extended XYZ file:
```
8
Lattice="-3.599 3.599 5.273 3.599 -3.599 5.273 3.599 3.599 -5.273" Properties=species:S:1:pos:R:3 pbc="T T T"
Hg 5.399 1.632 -1.318
Hg 1.632 1.800 1.318
Hg -1.800 1.967 3.954
Hg 1.967 1.800 6.591
Pb 3.599 0.000 2.636
Pb 0.000 0.000 5.273
Se 0.000 0.000 0.000
Se 0.000 3.599 2.636
```

Summary:
volume = 34.148 Å³/atom
Fermi-level density of states = 0.12 states/eV per atom
energy relative to the elements, uncorrected = 69 meV/atom
magnetic moment = 0.00 μB per cell
total energy = -15.04 eV/cell


Here is a relaxed structure of Mg8In5Rh from the Alexandria database. Energies are from PBE.

extended XYZ file:
```
14
Lattice="-4.285 4.285 4.457 4.285 -4.285 4.457 4.285 4.285 -4.457" Properties=species:S:1:pos:R:3 pbc="T T T"
Mg 2.475 -0.661 0.841
Mg 3.714 2.849 -2.365
Mg 6.095 0.661 0.841
Mg 4.946 -1.810 3.616
Mg 0.571 1.436 2.092
Mg 3.624 1.810 3.616
Mg 1.436 -0.571 6.823
Mg 2.849 4.856 2.365
In 3.453 2.262 0.566
In 2.023 -0.832 3.891
In 2.262 5.117 -0.566
In 0.000 4.285 2.229
In 0.832 2.023 5.024
Rh 0.000 0.000 0.000
```

Summary:
volume = 23.386 Å³/atom
Fermi-level density of states = 0.37 states/eV per atom
magnetic moment = 0.00 μB per cell
total energy = -35.46 eV/cell
formation energy = -0.119 eV per atom


Here is a relaxed structure of Pr4Ag2Ru from the Alexandria database. Energies are from PBE.

extended XYZ file:
```
14
Lattice="6.054 0.000 0.000 0.000 6.609 0.000 -2.117 0.000 9.954" Properties=species:S:1:pos:R:3 pbc="T T T"
Pr 0.778 1.652 0.964
Pr 0.068 0.028 7.421
Pr 0.068 3.277 7.421
Pr 0.833 4.957 4.236
Pr 3.104 1.652 5.718
Pr 3.869 3.333 2.533
Pr 3.869 6.581 2.533
Pr 3.159 4.957 8.990
Ag 0.085 1.652 4.362
Ag 2.244 4.957 0.216
Ag 1.693 1.652 9.738
Ag 3.852 4.957 5.592
Ru -0.081 4.957 1.750
Ru 4.018 1.652 8.204
```

Summary:
volume = 28.449 Å³/atom
Fermi-level density of states = 0.68 states/eV per atom
magnetic moment = 0.00 μB per cell
total energy = -69.70 eV/cell
formation energy = -0.108 eV per atom


Here is a relaxed structure of Ac4SbHIr2 from the Alexandria database. Energies are from PBE.

extended XYZ file:
```
16
Lattice="2.239 -7.113 0.000 2.239 7.113 0.000 0.000 0.000 14.982" Properties=species:S:1:pos:R:3 pbc="T T T"
Ac 0.000 0.000 0.000
Ac 0.000 0.000 7.491
Ac 2.239 3.294 9.157
Ac 2.239 3.294 13.316
Ac 2.239 1.034 3.746
Ac 2.239 -1.034 11.237
Ac 2.239 -3.294 1.666
Ac 2.239 -3.294 5.825
Sb 2.239 5.562 3.746
Sb 2.239 -5.562 11.237
H 2.239 4.806 11.237
H 2.239 -4.806 3.746
Ir 2.239 1.826 0.922
Ir 2.239 1.826 6.569
Ir 2.239 -1.826 8.414
Ir 2.239 -1.826 14.060
```

Summary:
volume = 29.833 Å³/atom
Fermi-level density of states = 0.50 states/eV per atom
magnetic moment = 0.00 μB per cell
total energy = -95.38 eV/cell


Here is a relaxed structure of Y2TcSnH from the Alexandria database. Energies are from PBE.

extended XYZ file:
```
5
Lattice="4.949 0.000 0.000 0.000 4.949 0.000 0.000 0.000 3.847" Properties=species:S:1:pos:R:3 pbc="T T T"
Y 0.000 2.475 0.000
Y 2.475 0.000 0.000
Tc 0.000 0.000 1.923
Sn 2.475 2.475 1.923
H 0.000 0.000 0.000
```

Summary:
volume = 18.847 Å³/atom
Fermi-level density of states = 0.21 states/eV per atom
magnetic moment = 0.36 μB per cell
total energy = -32.63 eV/cell


Here is a relaxed structure of Cd9InHg6 from the Alexandria database. Energies are from PBE.

extended XYZ file:
```
16
Lattice="-3.877 3.877 6.546 3.877 -3.877 6.546 3.877 3.877 -6.546" Properties=species:S:1:pos:R:3 pbc="T T T"
Cd 0.000 0.000 0.000
Cd 5.046 -1.138 2.184
Cd 2.739 -1.169 4.362
Cd 2.708 1.138 2.184
Cd 5.015 1.169 4.362
Cd -1.138 2.708 2.184
Cd 1.169 2.739 4.362
Cd 1.138 5.046 2.184
Cd -1.169 5.015 4.362
In 0.000 0.000 6.546
Hg 5.029 1.118 0.000
Hg 0.000 0.000 3.299
Hg 1.118 2.724 0.000
Hg 2.758 1.153 6.546
Hg 0.000 0.000 9.792
Hg -1.153 2.758 6.546
```

Summary:
volume = 24.593 Å³/atom
Fermi-level density of states = 0.51 states/eV per atom
magnetic moment = 0.00 μB per cell
total energy = -12.18 eV/cell
formation energy = 0.038 eV per atom